Entry from the Alexandria database: crystalline NiMoPt2 at its relaxed geometry (PBE).

abc: 6.1125 4.7659 2.7372
angles: 90.01 63.32 120.81
With the nearest neighbours (Å) after each atom.
Element x y z (fractional)
Mo 0.0000 0.5000 0.5000  2 Ni 2.73, 2 Mo 2.74, 8 Pt 2.75
Ni 0.5000 0.5000 0.0000  2 Mo 2.73, 2 Ni 2.74, 8 Pt 2.75
Pt 0.0000 0.0000 0.0000  4 Pt 2.73-2.74, 4 Ni 2.75, 4 Mo 2.75
Pt 0.5000 0.0000 0.5000  4 Pt 2.73-2.74, 4 Mo 2.75, 4 Ni 2.75

Results
distance to the lowest polymorph of the same formula	0.64	eV/f.u.
E	-0.2686	Ha/atom
E_form	-0.135	eV/atom
symmetry	C2/m, No. 12



Entry from the Alexandria database: crystalline CsTl2Rh at its relaxed geometry (PBE).

abc: 5.4939 5.4939 5.4939
angles: 60.00 60.00 60.00
With the nearest neighbours (Å) after each atom.
Element x y z (fractional)
Cs 0.5000 0.5000 0.5000  8 Tl 3.36
Tl 0.2500 0.2500 0.2500  4 Cs 3.36, 4 Rh 3.36
Tl 0.7500 0.7500 0.7500  4 Rh 3.36, 4 Cs 3.36
Rh 0.0000 0.0000 0.0000  8 Tl 3.36

Results
E	-0.1005	Ha/atom
E_form	0.501	eV/atom
symmetry	Fm-3m, No. 225



Entry from the Alexandria database: crystalline Li2HgOs at its relaxed geometry (PBE).

abc: 2.7064 2.7064 9.1055
angles: 90.00 90.00 107.69
With the nearest neighbours (Å) after each atom.
Element x y z (fractional)
Hg 0.5000 0.5000 0.7500  4 Hg 2.71, 4 Li 2.93
Li 0.0000 0.0000 0.0195  2 Os 2.64, 4 Li 2.71, 2 Hg 2.93
Li 0.0000 0.0000 0.4805  2 Os 2.64, 4 Li 2.71, 2 Hg 2.93
Os 0.5000 0.5000 0.2500  4 Li 2.64, 4 Os 2.71

Results
E	-0.1355	Ha/atom
E_form	0.152	eV/atom
symmetry	Cmmm, No. 65



Entry from the Alexandria database: crystalline ErLuAlIn at its relaxed geometry (PBE).

abc: 5.1479 5.1479 5.1479
angles: 60.00 60.00 60.00
With the nearest neighbours (Å) after each atom.
Element x y z (fractional)
Lu 0.5000 0.5000 0.5000  4 Al 3.15, 4 In 3.15
In 0.2500 0.2500 0.2500  4 Er 3.15, 4 Lu 3.15
Al 0.7500 0.7500 0.7500  4 Lu 3.15, 4 Er 3.15
Er 0.0000 0.0000 0.0000  4 Al 3.15, 4 In 3.15

Results
E	-0.1570	Ha/atom
E_form	-0.381	eV/atom
symmetry	F-43m, No. 216